1.
KPrSCl (PBE-GGA, relaxed); E_form (uncorrected) = -1.694 eV per atom; total moment = 0.00 μB per cell; space-group type = No. 160; volume = 113.0 Å³ per cell
1.0
4.085 0.000 0.000
-2.042 3.539 0.000
-2.042 -1.179 7.820
Cl Pr S K
1 1 1 1
Cartesian
2.429 0.921 2.660
-1.656 3.280 0.744
-1.657 0.921 6.977
0.386 -0.259 5.023

---

2.
Ac3Cd2Pd2Au4 (PBE-GGA, relaxed); formation energy from the elements = -64 kJ per mole of atoms; total moment = 0.00 μB per cell; space-group type = No. 164; volume = 292.9 Å³ per cell
1.0
4.748 0.000 0.000
-2.374 4.112 0.000
0.000 0.000 15.002
Cd Ac Au Pd
2 3 4 2
Cartesian
2.374 1.371 6.517
0.000 2.741 8.485
0.000 0.000 0.000
0.000 0.000 3.954
0.000 0.000 11.048
0.000 2.741 5.645
0.000 2.741 13.045
2.374 1.371 1.957
2.374 1.371 9.358
0.000 2.741 2.054
2.374 1.371 12.949

---

The highest volume belongs to which entry? Ac3Cd2Pd2Au4